An optimized crystal structure of Hf6ZnN2, computed with GGA-PBE.

The structure belongs to space group R3 (No. 146, hexagonal axes); the cell edges are 5.9189, 5.9189 and 15.6284 Å and the angles 90.00°, 90.00° and 120.00°. Symmetry generates all atoms from Hf at (0.0045, 0.3935, 0.0000), Hf at (0.0091, 0.6397, 0.1725), Zn at (0.0000, 0.0000, 0.0712), N at (0.0000, 0.0000, 0.4165) and N at (0.0000, 0.0000, 0.5897).

For the formation energy from raw total energies, the calculation gives -65.2 kJ/mol of atoms.